--- i ---
The following is a PBE calculation of an optimized crystal structure of LiHoPd2, from the Alexandria database.

```
data_LiHoPd2
_symmetry_space_group_name_H-M 'P 4/m m m'
_symmetry_Int_Tables_number 123
_symmetry_space_group_name_Hall '-P 4 2'
_cell_length_a 4.2577
_cell_length_b 4.2577
_cell_length_c 3.8679
_cell_angle_alpha 90.00
_cell_angle_beta 90.00
_cell_angle_gamma 90.00
loop_
_atom_site_label
_atom_site_fract_x
_atom_site_fract_y
_atom_site_fract_z
Li1 0.0000 0.0000 0.0000
Ho1 0.5000 0.5000 0.0000
Pd1 0.0000 0.5000 0.5000
```

Its volume is 17.53 Å³ per atom.


--- ii ---
The following is a PBE calculation of an optimized crystal structure of LiHoPd2, from the Alexandria database.

```
data_LiHoPd2
_symmetry_space_group_name_H-M 'F m -3 m'
_symmetry_Int_Tables_number 225
_symmetry_space_group_name_Hall '-F 4 2 3'
_cell_length_a 6.6200
_cell_length_b 6.6200
_cell_length_c 6.6200
_cell_angle_alpha 90.00
_cell_angle_beta 90.00
_cell_angle_gamma 90.00
loop_
_atom_site_label
_atom_site_fract_x
_atom_site_fract_y
_atom_site_fract_z
Li1 0.0000 0.0000 0.0000
Ho1 0.0000 0.0000 0.5000
Pd1 0.2500 0.2500 0.2500
```

Its volume is 18.13 Å³ per atom.


Which of them is most stable? Easy: i.


--- i ---
The following is a PBE calculation of an optimized crystal structure of LiHoPdRh, from the Alexandria database.

```
data_LiHoPdRh
_symmetry_space_group_name_H-M 'F -4 3 m'
_symmetry_Int_Tables_number 216
_symmetry_space_group_name_Hall 'F -4 2 3'
_cell_length_a 6.4961
_cell_length_b 6.4961
_cell_length_c 6.4961
_cell_angle_alpha 90.00
_cell_angle_beta 90.00
_cell_angle_gamma 90.00
loop_
_atom_site_label
_atom_site_fract_x
_atom_site_fract_y
_atom_site_fract_z
Li1 0.0000 0.0000 0.0000
Ho1 0.0000 0.0000 0.5000
Pd1 0.2500 0.2500 0.2500
Rh1 0.2500 0.2500 0.7500
```

Its volume is 17.13 Å³ per atom.


--- ii ---
The following is a PBE calculation of an optimized crystal structure of LiHoPdRh, from the Alexandria database.

```
data_LiHoPdRh
_symmetry_space_group_name_H-M 'P m m m'
_symmetry_Int_Tables_number 47
_symmetry_space_group_name_Hall '-P 2 2'
_cell_length_a 3.7455
_cell_length_b 4.1148
_cell_length_c 4.3852
_cell_angle_alpha 90.00
_cell_angle_beta 90.00
_cell_angle_gamma 90.00
loop_
_atom_site_label
_atom_site_fract_x
_atom_site_fract_y
_atom_site_fract_z
Li1 0.0000 0.0000 0.0000
Ho1 0.0000 0.5000 0.5000
Pd1 0.5000 0.5000 0.0000
Rh1 0.5000 0.0000 0.5000
```

Its volume is 16.90 Å³ per atom.


Which of them is most stable? Easy: ii.


--- i ---
The following is a PBE calculation of an optimized crystal structure of LiPmHo, from the Alexandria database.

```
data_LiPmHo
_symmetry_space_group_name_H-M 'P 3 m 1'
_symmetry_Int_Tables_number 156
_symmetry_space_group_name_Hall 'P 3 -2"'
_cell_length_a 3.5067
_cell_length_b 3.5067
_cell_length_c 8.3730
_cell_angle_alpha 90.00
_cell_angle_beta 90.00
_cell_angle_gamma 120.00
loop_
_atom_site_label
_atom_site_fract_x
_atom_site_fract_y
_atom_site_fract_z
Li1 0.0000 0.0000 0.0000
Pm1 0.6667 0.3333 0.3349
Ho1 0.3333 0.6667 0.6757
```

Its volume is 29.72 Å³ per atom.


--- ii ---
The following is a PBE calculation of an optimized crystal structure of LiPmHo, from the Alexandria database.

```
data_LiPmHo
_symmetry_space_group_name_H-M 'C 1 2/m 1'
_symmetry_Int_Tables_number 12
_symmetry_space_group_name_Hall '-C 2y'
_cell_length_a 6.1607
_cell_length_b 3.5528
_cell_length_c 15.7323
_cell_angle_alpha 90.00
_cell_angle_beta 90.19
_cell_angle_gamma 90.00
loop_
_atom_site_label
_atom_site_fract_x
_atom_site_fract_y
_atom_site_fract_z
Li1 0.1668 0.0000 0.4377
Pm1 0.1661 0.0000 0.0955
Ho1 0.0006 0.5000 0.7247
```

Its volume is 28.70 Å³ per atom.


Which of them is most stable? Easy: ii.


--- i ---
The following is a PBE calculation of an optimized crystal structure of LiPmHoZn, from the Alexandria database.

```
data_LiPmHoZn
_symmetry_space_group_name_H-M 'F -4 3 m'
_symmetry_Int_Tables_number 216
_symmetry_space_group_name_Hall 'F -4 2 3'
_cell_length_a 7.2930
_cell_length_b 7.2930
_cell_length_c 7.2930
_cell_angle_alpha 90.00
_cell_angle_beta 90.00
_cell_angle_gamma 90.00
loop_
_atom_site_label
_atom_site_fract_x
_atom_site_fract_y
_atom_site_fract_z
Li1 0.0000 0.0000 0.0000
Pm1 0.2500 0.2500 0.7500
Ho1 0.2500 0.2500 0.2500
Zn1 0.0000 0.0000 0.5000
```

Its volume is 24.24 Å³ per atom.


--- ii ---
The following is a PBE calculation of an optimized crystal structure of LiPmHoZn, from the Alexandria database.

```
data_LiPmHoZn
_symmetry_space_group_name_H-M 'P 4 m m'
_symmetry_Int_Tables_number 99
_symmetry_space_group_name_Hall 'P 4 -2'
_cell_length_a 3.6586
_cell_length_b 3.6586
_cell_length_c 7.4000
_cell_angle_alpha 90.00
_cell_angle_beta 90.00
_cell_angle_gamma 90.00
loop_
_atom_site_label
_atom_site_fract_x
_atom_site_fract_y
_atom_site_fract_z
Li1 0.0000 0.0000 0.0000
Pm1 0.5000 0.5000 0.7231
Ho1 0.5000 0.5000 0.2577
Zn1 0.0000 0.0000 0.4783
```

Its volume is 24.76 Å³ per atom.


Which of them is most stable? Easy: ii.


--- i ---
The following is a PBE calculation of an optimized crystal structure of LiHoPt, from the Alexandria database.

```
data_LiHoPt
_symmetry_space_group_name_H-M 'C 1 2/m 1'
_symmetry_Int_Tables_number 12
_symmetry_space_group_name_Hall '-C 2y'
_cell_length_a 10.1363
_cell_length_b 3.8602
_cell_length_c 7.3831
_cell_angle_alpha 90.00
_cell_angle_beta 120.09
_cell_angle_gamma 90.00
loop_
_atom_site_label
_atom_site_fract_x
_atom_site_fract_y
_atom_site_fract_z
Li1 0.1887 0.0000 0.0675
Ho1 0.0716 0.5000 0.3364
Pt1 0.1525 0.0000 0.6737
```

Its volume is 20.83 Å³ per atom.


--- ii ---
The following is a PBE calculation of an optimized crystal structure of LiHoPt, from the Alexandria database.

```
data_LiHoPt
_symmetry_space_group_name_H-M 'F -4 3 m'
_symmetry_Int_Tables_number 216
_symmetry_space_group_name_Hall 'F -4 2 3'
_cell_length_a 6.4812
_cell_length_b 6.4812
_cell_length_c 6.4812
_cell_angle_alpha 90.00
_cell_angle_beta 90.00
_cell_angle_gamma 90.00
loop_
_atom_site_label
_atom_site_fract_x
_atom_site_fract_y
_atom_site_fract_z
Li1 0.0000 0.0000 0.0000
Ho1 0.0000 0.0000 0.5000
Pt1 0.2500 0.2500 0.7500
```

Its volume is 22.69 Å³ per atom.


--- iii ---
The following is a PBE calculation of an optimized crystal structure of LiHoPt, from the Alexandria database.

```
data_LiHoPt
_symmetry_space_group_name_H-M 'P -6 2 m'
_symmetry_Int_Tables_number 189
_symmetry_space_group_name_Hall 'P -6 -2'
_cell_length_a 7.1301
_cell_length_b 7.1301
_cell_length_c 4.0014
_cell_angle_alpha 90.00
_cell_angle_beta 90.00
_cell_angle_gamma 120.00
loop_
_atom_site_label
_atom_site_fract_x
_atom_site_fract_y
_atom_site_fract_z
Li1 0.0000 0.7627 0.0000
Ho1 0.0000 0.4062 0.5000
Pt1 0.0000 0.0000 0.5000
Pt2 0.3333 0.6667 0.0000
```

Its volume is 19.57 Å³ per atom.


Which of them is most stable? Easy: iii.


--- i ---
The following is a PBE calculation of an optimized crystal structure of LiHoPu, from the Alexandria database.

```
data_LiHoPu
_symmetry_space_group_name_H-M 'C 1 2/m 1'
_symmetry_Int_Tables_number 12
_symmetry_space_group_name_Hall '-C 2y'
_cell_length_a 5.5956
_cell_length_b 3.9416
_cell_length_c 13.5196
_cell_angle_alpha 90.00
_cell_angle_beta 94.08
_cell_angle_gamma 90.00
loop_
_atom_site_label
_atom_site_fract_x
_atom_site_fract_y
_atom_site_fract_z
Li1 0.2312 0.0000 0.0765
Ho1 0.1938 0.5000 0.2717
Pu1 0.1914 0.5000 0.5399
```

Its volume is 24.79 Å³ per atom.


--- ii ---
The following is a PBE calculation of an optimized crystal structure of LiHoPu, from the Alexandria database.

```
data_LiHoPu
_symmetry_space_group_name_H-M 'I 4 m m'
_symmetry_Int_Tables_number 107
_symmetry_space_group_name_Hall 'I 4 -2'
_cell_length_a 3.3052
_cell_length_b 3.3052
_cell_length_c 14.5407
_cell_angle_alpha 90.00
_cell_angle_beta 90.00
_cell_angle_gamma 90.00
loop_
_atom_site_label
_atom_site_fract_x
_atom_site_fract_y
_atom_site_fract_z
Li1 0.0000 0.0000 0.0000
Ho1 0.0000 0.0000 0.3354
Pu1 0.0000 0.0000 0.6608
```

Its volume is 26.47 Å³ per atom.


Which of them is most stable? Easy: i.


--- i ---
The following is a PBE calculation of an optimized crystal structure of LiHoRh, from the Alexandria database.

```
data_LiHoRh
_symmetry_space_group_name_H-M 'I 4 m m'
_symmetry_Int_Tables_number 107
_symmetry_space_group_name_Hall 'I 4 -2'
_cell_length_a 3.4566
_cell_length_b 3.4566
_cell_length_c 9.2769
_cell_angle_alpha 90.00
_cell_angle_beta 90.00
_cell_angle_gamma 90.00
loop_
_atom_site_label
_atom_site_fract_x
_atom_site_fract_y
_atom_site_fract_z
Li1 0.0000 0.0000 0.0000
Ho1 0.0000 0.0000 0.2961
Rh1 0.0000 0.0000 0.6356
```

Its volume is 18.47 Å³ per atom.


--- ii ---
The following is a PBE calculation of an optimized crystal structure of LiHoRh, from the Alexandria database.

```
data_LiHoRh
_symmetry_space_group_name_H-M 'P -6 m 2'
_symmetry_Int_Tables_number 187
_symmetry_space_group_name_Hall 'P -6 2'
_cell_length_a 4.3632
_cell_length_b 4.3632
_cell_length_c 3.3396
_cell_angle_alpha 90.00
_cell_angle_beta 90.00
_cell_angle_gamma 120.00
loop_
_atom_site_label
_atom_site_fract_x
_atom_site_fract_y
_atom_site_fract_z
Li1 0.0000 0.0000 0.0000
Ho1 0.6667 0.3333 0.5000
Rh1 0.3333 0.6667 0.0000
```

Its volume is 18.35 Å³ per atom.


Which of them is most stable? Easy: ii.


--- i ---
The following is a PBE calculation of an optimized crystal structure of LiHo4Ru2, from the Alexandria database.

```
data_LiHo4Ru2
_symmetry_space_group_name_H-M 'R -3 m'
_symmetry_Int_Tables_number 166
_symmetry_space_group_name_Hall '-R 3 2"'
_cell_length_a 4.8529
_cell_length_b 4.8529
_cell_length_c 23.2445
_cell_angle_alpha 90.00
_cell_angle_beta 90.00
_cell_angle_gamma 120.00
loop_
_atom_site_label
_atom_site_fract_x
_atom_site_fract_y
_atom_site_fract_z
Li1 0.0000 0.0000 0.0000
Ho1 0.0000 0.0000 0.1286
Ho2 0.0000 0.0000 0.3791
Ru1 0.0000 0.0000 0.2526
```

Its volume is 22.58 Å³ per atom.


--- ii ---
The following is a PBE calculation of an optimized crystal structure of LiHo4Ru2, from the Alexandria database.

```
data_LiHo4Ru2
_symmetry_space_group_name_H-M 'P 1'
_symmetry_Int_Tables_number 1
_symmetry_space_group_name_Hall 'P 1'
_cell_length_a 6.8029
_cell_length_b 6.8704
_cell_length_c 7.7609
_cell_angle_alpha 88.51
_cell_angle_beta 65.65
_cell_angle_gamma 87.50
loop_
_atom_site_label
_atom_site_fract_x
_atom_site_fract_y
_atom_site_fract_z
Li1 0.0000 0.0000 0.0000
Li2 0.4709 0.0037 0.0492
Ho1 0.0591 0.2435 0.2951
Ho2 0.1304 0.7185 0.2809
Ho3 0.3457 0.7018 0.7856
Ho4 0.4001 0.2248 0.7166
Ho5 0.5850 0.3386 0.2423
Ho6 0.6151 0.8067 0.3308
Ho7 0.8622 0.7496 0.7600
Ho8 0.8827 0.2723 0.7611
Ru1 0.2227 0.9990 0.5290
Ru2 0.2293 0.5016 0.5304
Ru3 0.7354 0.5045 0.5161
Ru4 0.9834 0.5079 0.0231
```

Its volume is 23.58 Å³ per atom.


Which of them is most stable? Easy: i.